Record 1
# NaLa2Si2 | Alexandria via LeMat-Bulk | GGA-PBE | relaxed
# ΔE_f (raw)	-85.2	meV/atom
# Fermi-level density of states	1.348	states/eV/atom
# raw total energy	-4.49	eV/atom
data_NaLa2Si2
_chemical_formula_sum 'Na2 La4 Si4'
_cell_length_a 5.811
_cell_length_b 5.811
_cell_length_c 8.784
_cell_angle_alpha 90.00
_cell_angle_beta 90.00
_cell_angle_gamma 90.00
_symmetry_space_group_name_H-M 'I 4/m m m'
_symmetry_Int_Tables_number 139
_symmetry_space_group_name_Hall '-I 4 2'
loop_
_atom_site_label
_atom_site_fract_x
_atom_site_fract_y
_atom_site_fract_z
Na1 0.000 0.000 0.000
La1 0.000 0.500 0.250
Si1 0.000 0.000 0.362


Record 2
# Pr4DyEr2Tm | Alexandria via LeMat-Bulk | GGA-PBE | relaxed
# Fermi-level density of states	1.283	states/eV/atom
# raw total energy	-4.65	eV/atom
data_Pr4DyEr2Tm
_chemical_formula_sum 'Pr4 Dy1 Er2 Tm1'
_cell_length_a 5.150
_cell_length_b 5.172
_cell_length_c 9.991
_cell_angle_alpha 90.00
_cell_angle_beta 90.00
_cell_angle_gamma 90.00
_symmetry_space_group_name_H-M 'P m m m'
_symmetry_Int_Tables_number 47
loop_
_symmetry_equiv_pos_as_xyz
'x,y,z'
'-x,-y,-z'
'-x,-y,z'
'x,y,-z'
'x,-y,-z'
'-x,y,z'
'-x,y,-z'
'x,-y,z'
loop_
_atom_site_label
_atom_site_fract_x
_atom_site_fract_y
_atom_site_fract_z
Pr1 0.000 0.000 0.249
Pr2 0.500 0.500 0.249
Dy1 0.000 0.500 0.500
Er1 0.000 0.500 0.000
Er2 0.500 0.000 0.500
Tm1 0.500 0.000 0.000


Record 3
# La5Pb4 | Alexandria via LeMat-Bulk | GGA-PBE | relaxed
# relative energy among the computed polymorphs	0.000	eV per atom
# Fermi-level density of states	0.771	states/eV/atom
# raw total energy	-5.02	eV/atom
data_La5Pb4
_chemical_formula_sum 'La20 Pb16'
_cell_length_a 8.647
_cell_length_b 16.471
_cell_length_c 8.750
_cell_angle_alpha 90.00
_cell_angle_beta 90.00
_cell_angle_gamma 90.00
_symmetry_space_group_name_H-M 'P n m a'
_symmetry_Int_Tables_number 62
loop_
_symmetry_equiv_pos_as_xyz
'x,y,z'
'-x,-y,-z'
'-x+1/2,-y,z+1/2'
'x+1/2,y,-z+1/2'
'x+1/2,-y+1/2,-z+1/2'
'-x+1/2,y+1/2,z+1/2'
'-x,y+1/2,-z'
'x,-y+1/2,z'
loop_
_atom_site_label
_atom_site_fract_x
_atom_site_fract_y
_atom_site_fract_z
La1 0.032 0.102 0.179
La2 0.118 0.617 0.341
La3 0.213 0.250 0.504
Pb1 0.080 0.250 0.880
Pb2 0.162 0.750 0.644
Pb3 0.223 0.044 0.532


Record 4
# HgSbRh2 | Alexandria via LeMat-Bulk | GGA-PBE | relaxed
# ΔE_f (raw)	250.7	meV/atom
# relative energy among the computed polymorphs	0.370	eV per atom
# Fermi-level density of states	1.462	states/eV/atom
# raw total energy	-4.53	eV/atom
data_HgSbRh2
_chemical_formula_sum 'Hg3 Sb3 Rh6'
_cell_length_a 3.1227
_cell_length_b 3.1227
_cell_length_c 27.4794
_cell_angle_alpha 90.00
_cell_angle_beta 90.00
_cell_angle_gamma 120.00
_symmetry_space_group_name_H-M 'R 3 m'
_symmetry_Int_Tables_number 160
_symmetry_space_group_name_Hall 'R 3 -2"'
loop_
_atom_site_label
_atom_site_fract_x
_atom_site_fract_y
_atom_site_fract_z
Hg1 0.0000 0.0000 0.0000
Sb1 0.0000 0.0000 0.2272
Rh1 0.0000 0.0000 0.4891
Rh2 0.0000 0.0000 0.7468


Record 5
# ErNbTl | Alexandria via LeMat-Bulk | GGA-PBE | relaxed
# Fermi-level density of states	1.021	states/eV/atom
# raw total energy	-5.13	eV/atom
data_ErNbTl
_chemical_formula_sum 'Er4 Nb4 Tl4'
_cell_length_a 10.527
_cell_length_b 3.110
_cell_length_c 9.181
_cell_angle_alpha 90.00
_cell_angle_beta 93.05
_cell_angle_gamma 90.00
_symmetry_space_group_name_H-M 'C 1 2/m 1'
_symmetry_Int_Tables_number 12
loop_
_symmetry_equiv_pos_as_xyz
'x,y,z'
'-x,-y,-z'
'-x,y,-z'
'x,-y,z'
'x+1/2,y+1/2,z'
'-x+1/2,-y+1/2,-z'
'-x+1/2,y+1/2,-z'
'x+1/2,-y+1/2,z'
loop_
_atom_site_label
_atom_site_fract_x
_atom_site_fract_y
_atom_site_fract_z
Er1 0.138 0.000 0.087
Nb1 0.135 0.000 0.749
Tl1 0.133 0.000 0.419


Record 6
# PaBRu2 | Alexandria via LeMat-Bulk | GGA-PBE | relaxed
# relative energy among the computed polymorphs	0.132	eV per atom
# Fermi-level density of states	0.659	states/eV/atom
# raw total energy	-8.92	eV/atom
data_PaBRu2
_chemical_formula_sum 'Pa2 B2 Ru4'
_cell_length_a 5.427
_cell_length_b 6.641
_cell_length_c 3.476
_cell_angle_alpha 90.00
_cell_angle_beta 90.00
_cell_angle_gamma 90.00
_symmetry_space_group_name_H-M 'C m m m'
_symmetry_Int_Tables_number 65
_symmetry_space_group_name_Hall '-C 2 2'
loop_
_atom_site_label
_atom_site_fract_x
_atom_site_fract_y
_atom_site_fract_z
Pa1 0.000 0.000 0.000
B1 0.000 0.500 0.000
Ru1 0.000 0.302 0.500